Record 1
Entry from OQMD via LeMat-Bulk: a relaxed YScNi2Pb crystal (PBE-GGA).

The structure in CIF format:
```
data_YScNi2Pb
_space_group_name_H-M_alt 'A m m 2'
_space_group_IT_number 38
_cell_length_a 3.5769
_cell_length_b 3.9293
_cell_length_c 14.1149
_cell_angle_alpha 90.00
_cell_angle_beta 90.00
_cell_angle_gamma 90.00
loop_
_space_group_symop_operation_xyz
'x,y,z'
'-x,-y,z'
'-x,y,z'
'x,-y,z'
'x,y+1/2,z+1/2'
'-x,-y+1/2,z+1/2'
'-x,y+1/2,z+1/2'
'x,-y+1/2,z+1/2'
loop_
_atom_site_label
_atom_site_type_symbol
_atom_site_fract_x
_atom_site_fract_y
_atom_site_fract_z
_atom_site_occupancy
Y1 Y 0.0000 0.0000 0.0000 1
Sc1 Sc 0.0000 0.0000 0.2825 1
Ni1 Ni 0.5000 0.0000 0.4351 1
Ni2 Ni 0.5000 0.0000 0.8352 1
Pb1 Pb 0.5000 0.0000 0.6442 1
```

Computed properties:
Raw total energy ... -6.011 eV/atom
Crystal system ... orthorhombic

***

Record 2
Entry from OQMD via LeMat-Bulk: a relaxed ErTePO6 crystal (PBE-GGA).

The structure in CIF format:
```
data_ErTePO6
_space_group_name_H-M_alt 'P -3 1 c'
_space_group_IT_number 163
_space_group_name_Hall '-P 3 2c'
_cell_length_a 5.2006
_cell_length_b 5.2006
_cell_length_c 9.5001
_cell_angle_alpha 90.00
_cell_angle_beta 90.00
_cell_angle_gamma 120.00
loop_
_atom_site_label
_atom_site_type_symbol
_atom_site_fract_x
_atom_site_fract_y
_atom_site_fract_z
_atom_site_occupancy
Er1 Er 0.0000 0.0000 0.0000 1
Te1 Te 0.3333 0.6667 0.2500 1
P1 P 0.3333 0.6667 0.7500 1
O1 O 0.0151 0.3641 0.1360 1
```

Computed properties:
Raw total energy ... -6.391 eV/atom
Crystal system ... trigonal